VASP calculation (PBE) on a geometry-optimized Ba2ZnHg4Pb2 structure.

Cell: 7.344 7.344 7.344 Å, 121.01 121.01 88.26°
Atoms (fractional coordinates):
Ba: 0.250 0.750 0.500
Ba: 0.750 0.250 0.500
Zn: 0.000 0.000 0.000
Hg: 0.266 0.266 0.532
Hg: 0.266 0.734 0.000
Hg: 0.734 0.266 0.000
Hg: 0.734 0.734 0.468
Pb: 0.301 0.301 0.000
Pb: 0.699 0.699 0.000

Symmetry ... I4/mmm (139)
Formation energy from the elements ... -0.320 eV per atom
E ... -1.85 eV/atom
Density ... 9.377 Mg/m³

---

VASP calculation (PBE) on a geometry-optimized Ba2Hg2Pd15 structure.

Cell: 7.148 7.148 7.148 Å, 82.88 82.88 82.88°
Atoms (fractional coordinates):
Ba: 0.152 0.152 0.152
Ba: 0.848 0.848 0.848
Hg: 0.398 0.398 0.398
Hg: 0.602 0.602 0.602
Pd: 0.000 0.500 0.500
Pd: 0.155 0.155 0.654
Pd: 0.155 0.654 0.155
Pd: 0.203 0.500 0.797
Pd: 0.203 0.797 0.500
Pd: 0.346 0.845 0.845
Pd: 0.500 0.000 0.500
Pd: 0.500 0.203 0.797
Pd: 0.500 0.500 0.000
Pd: 0.500 0.797 0.203
Pd: 0.654 0.155 0.155
Pd: 0.797 0.203 0.500
Pd: 0.797 0.500 0.203
Pd: 0.845 0.346 0.845
Pd: 0.845 0.845 0.346

Symmetry ... R-3m (166)
Formation energy from the elements ... -0.225 eV per atom
E ... -4.56 eV/atom
Density ... 10.557 Mg/m³

---

VASP calculation (PBE) on a geometry-optimized Ba3Hg3Pd8 structure.

Cell: 9.073 9.073 9.073 Å, 150.18 108.61 79.24°
Atoms (fractional coordinates):
Ba: 0.000 0.000 0.000
Ba: 0.295 0.295 0.000
Ba: 0.705 0.705 0.000
Hg: 0.256 0.500 0.756
Hg: 0.500 0.000 0.500
Hg: 0.744 0.500 0.244
Pd: 0.007 0.300 0.707
Pd: 0.167 0.893 0.274
Pd: 0.380 0.107 0.274
Pd: 0.407 0.700 0.707
Pd: 0.593 0.300 0.293
Pd: 0.620 0.893 0.726
Pd: 0.833 0.107 0.726
Pd: 0.993 0.700 0.293

Symmetry ... Immm (71)
Formation energy from the elements ... -0.417 eV per atom
E ... -3.86 eV/atom
Density ... 8.964 Mg/m³

---

VASP calculation (PBE) on a geometry-optimized BaHg8Pd2 structure.

Cell: 6.629 6.629 8.083 Å, 90.00 90.00 90.00°
Atoms (fractional coordinates):
Ba: 0.000 0.000 0.000
Hg: 0.261 0.261 0.296
Hg: 0.261 0.261 0.704
Hg: 0.261 0.739 0.296
Hg: 0.261 0.739 0.704
Hg: 0.739 0.261 0.296
Hg: 0.739 0.261 0.704
Hg: 0.739 0.739 0.296
Hg: 0.739 0.739 0.704
Pd: 0.000 0.500 0.500
Pd: 0.500 0.000 0.500

Symmetry ... P4/mmm (123)
Formation energy from the elements ... -0.063 eV per atom
E ... -1.40 eV/atom
Density ... 9.138 Mg/m³